Record 1
Nd5Y4Er4 | GGA-PBE | relaxed

```
data_Nd5Y4Er4
_cell_length_a 12.967
_cell_length_b 12.967
_cell_length_c 5.080
_cell_angle_alpha 90.00
_cell_angle_beta 90.00
_cell_angle_gamma 90.00
_symmetry_space_group_name_H-M 'I 4/m'
_symmetry_Int_Tables_number 87
_symmetry_space_group_name_Hall '-I 4'
loop_
_atom_site_label
_atom_site_type_symbol
_atom_site_fract_x
_atom_site_fract_y
_atom_site_fract_z
Nd1 Nd 0.000 0.000 0.000
Nd2 Nd 0.040 0.807 0.500
Y1 Y 0.077 0.615 0.000
Er1 Er 0.155 0.233 0.000
```

Summary:
formation enthalpy at 0 K = 0.02 eV per atom
theoretical density = 6.8 Mg/m³

Record 2
Nd4Y6Er | GGA-PBE | relaxed

```
data_Nd4Y6Er
_cell_length_a 11.0085
_cell_length_b 11.0085
_cell_length_c 3.5979
_cell_angle_alpha 90.00
_cell_angle_beta 90.00
_cell_angle_gamma 120.00
_symmetry_space_group_name_H-M 'P -6 m 2'
_symmetry_Int_Tables_number 187
_symmetry_space_group_name_Hall 'P -6 2'
loop_
_atom_site_label
_atom_site_type_symbol
_atom_site_fract_x
_atom_site_fract_y
_atom_site_fract_z
Nd1 Nd 0.0000 0.0000 0.0000
Nd2 Nd 0.0146 0.5073 0.5000
Y1 Y 0.1510 0.3020 0.5000
Y2 Y 0.3717 0.1858 0.0000
Er1 Er 0.3333 0.6667 0.0000
```

Summary:
formation enthalpy at 0 K = 0.16 eV per atom
theoretical density = 5.6 Mg/m³

Record 3
Nd12Y2Er5 | GGA-PBE | relaxed

```
data_Nd12Y2Er5
_cell_length_a 15.509
_cell_length_b 10.472
_cell_length_c 8.063
_cell_angle_alpha 90.00
_cell_angle_beta 92.73
_cell_angle_gamma 90.00
_symmetry_space_group_name_H-M 'C 1 2/m 1'
_symmetry_Int_Tables_number 12
_symmetry_space_group_name_Hall '-C 2y'
loop_
_atom_site_label
_atom_site_type_symbol
_atom_site_fract_x
_atom_site_fract_y
_atom_site_fract_z
Nd1 Nd 0.053 0.000 0.211
Nd2 Nd 0.106 0.227 0.888
Nd3 Nd 0.142 0.500 0.616
Nd4 Nd 0.189 0.272 0.293
Y1 Y 0.000 0.243 0.500
Er1 Er 0.000 0.500 0.000
Er2 Er 0.153 0.000 0.591
Er3 Er 0.244 0.500 0.989
```

Summary:
formation enthalpy at 0 K = 0.13 eV per atom
theoretical density = 7.0 Mg/m³

Record 4
Nd2YEr4 | GGA-PBE | relaxed

```
data_Nd2YEr4
_cell_length_a 16.479
_cell_length_b 6.732
_cell_length_c 11.519
_cell_angle_alpha 90.00
_cell_angle_beta 134.32
_cell_angle_gamma 90.00
_symmetry_space_group_name_H-M 'C 1 2 1'
_symmetry_Int_Tables_number 5
_symmetry_space_group_name_Hall 'C 2y'
loop_
_atom_site_label
_atom_site_type_symbol
_atom_site_fract_x
_atom_site_fract_y
_atom_site_fract_z
Nd1 Nd 0.000 0.000 0.000
Nd2 Nd 0.000 0.000 0.500
Nd3 Nd 0.222 0.885 0.472
Y1 Y 0.224 0.886 0.973
Er1 Er 0.000 0.669 0.251
Er2 Er 0.001 0.226 0.752
Er3 Er 0.151 0.516 0.150
Er4 Er 0.152 0.514 0.653
```

Summary:
formation enthalpy at 0 K = 0.19 eV per atom
theoretical density = 7.6 Mg/m³

Record 5
Nd7YEr3 | GGA-PBE | relaxed

```
data_Nd7YEr3
_cell_length_a 12.824
_cell_length_b 11.385
_cell_length_c 5.906
_cell_angle_alpha 90.00
_cell_angle_beta 117.36
_cell_angle_gamma 90.00
_symmetry_space_group_name_H-M 'C 1 2/m 1'
_symmetry_Int_Tables_number 12
_symmetry_space_group_name_Hall '-C 2y'
loop_
_atom_site_label
_atom_site_type_symbol
_atom_site_fract_x
_atom_site_fract_y
_atom_site_fract_z
Nd1 Nd 0.000 0.000 0.000
Nd2 Nd 0.193 0.291 0.693
Nd3 Nd 0.208 0.500 0.206
Y1 Y 0.000 0.000 0.500
Er1 Er 0.000 0.296 0.000
Er2 Er 0.000 0.500 0.500
```

Summary:
formation enthalpy at 0 K = 0.23 eV per atom
theoretical density = 6.9 Mg/m³

Record 6
Nd8Y2Er3 | GGA-PBE | relaxed

```
data_Nd8Y2Er3
_cell_length_a 5.729
_cell_length_b 7.730
_cell_length_c 10.945
_cell_angle_alpha 110.64
_cell_angle_beta 90.01
_cell_angle_gamma 90.00
_symmetry_space_group_name_H-M 'P -1'
_symmetry_Int_Tables_number 2
_symmetry_space_group_name_Hall '-P 1'
loop_
_atom_site_label
_atom_site_type_symbol
_atom_site_fract_x
_atom_site_fract_y
_atom_site_fract_z
Nd1 Nd 0.000 0.099 0.290
Nd2 Nd 0.000 0.309 0.710
Nd3 Nd 0.500 0.172 0.843
Nd4 Nd 0.500 0.370 0.240
Y1 Y 0.001 0.261 0.021
Er1 Er 0.000 0.500 0.500
Er2 Er 0.500 0.215 0.500
```

Summary:
formation enthalpy at 0 K = 0.20 eV per atom
theoretical density = 6.7 Mg/m³

Record 7
Nd5Y2Er4 | GGA-PBE | relaxed

```
data_Nd5Y2Er4
_cell_length_a 18.006
_cell_length_b 3.585
_cell_length_c 12.116
_cell_angle_alpha 90.00
_cell_angle_beta 107.25
_cell_angle_gamma 90.00
_symmetry_space_group_name_H-M 'C 1 2/m 1'
_symmetry_Int_Tables_number 12
_symmetry_space_group_name_Hall '-C 2y'
loop_
_atom_site_label
_atom_site_type_symbol
_atom_site_fract_x
_atom_site_fract_y
_atom_site_fract_z
Nd1 Nd 0.000 0.000 0.000
Nd2 Nd 0.117 0.500 0.515
Nd3 Nd 0.166 0.500 0.012
Y1 Y 0.175 0.000 0.286
Er1 Er 0.004 0.500 0.751
Er2 Er 0.170 0.000 0.766
```

Summary:
formation enthalpy at 0 K = 0.14 eV per atom
theoretical density = 7.0 Mg/m³

Record 8
Nd2YEr6 | GGA-PBE | relaxed

```
data_Nd2YEr6
_cell_length_a 9.7395
_cell_length_b 9.7395
_cell_length_c 3.4703
_cell_angle_alpha 90.00
_cell_angle_beta 90.00
_cell_angle_gamma 120.00
_symmetry_space_group_name_H-M 'P 6/m m m'
_symmetry_Int_Tables_number 191
_symmetry_space_group_name_Hall '-P 6 2'
loop_
_atom_site_label
_atom_site_type_symbol
_atom_site_fract_x
_atom_site_fract_y
_atom_site_fract_z
Nd1 Nd 0.3333 0.6667 0.0000
Y1 Y 0.0000 0.0000 0.0000
Er1 Er 0.0000 0.3317 0.5000
```

Summary:
formation enthalpy at 0 K = 0.08 eV per atom
theoretical density = 8.0 Mg/m³

Record 9
Nd6Y2Er | GGA-PBE | relaxed

```
data_Nd6Y2Er
_cell_length_a 16.508
_cell_length_b 7.080
_cell_length_c 5.683
_cell_angle_alpha 90.00
_cell_angle_beta 110.02
_cell_angle_gamma 90.00
_symmetry_space_group_name_H-M 'C 1 2/m 1'
_symmetry_Int_Tables_number 12
_symmetry_space_group_name_Hall '-C 2y'
loop_
_atom_site_label
_atom_site_type_symbol
_atom_site_fract_x
_atom_site_fract_y
_atom_site_fract_z
Nd1 Nd 0.110 0.228 0.111
Nd2 Nd 0.215 0.000 0.715
Y1 Y 0.131 0.500 0.632
Er1 Er 0.000 0.000 0.500
```

Summary:
formation enthalpy at 0 K = 0.16 eV per atom
theoretical density = 6.4 Mg/m³

Record 10
Nd2Y5Er5 | GGA-PBE | relaxed

```
data_Nd2Y5Er5
_cell_length_a 15.115
_cell_length_b 5.038
_cell_length_c 11.269
_cell_angle_alpha 90.00
_cell_angle_beta 116.54
_cell_angle_gamma 90.00
_symmetry_space_group_name_H-M 'C 1 2/m 1'
_symmetry_Int_Tables_number 12
_symmetry_space_group_name_Hall '-C 2y'
loop_
_atom_site_label
_atom_site_type_symbol
_atom_site_fract_x
_atom_site_fract_y
_atom_site_fract_z
Nd1 Nd 0.083 0.000 0.248
Y1 Y 0.000 0.500 0.000
Y2 Y 0.085 0.500 0.751
Y3 Y 0.166 0.500 0.500
Er1 Er 0.000 0.000 0.500
Er2 Er 0.168 0.000 0.000
Er3 Er 0.249 0.000 0.751
```

Summary:
formation enthalpy at 0 K = 0.02 eV per atom
theoretical density = 6.8 Mg/m³